(1)
Cs3In2Sb4Pb2 | PBE-GGA | relaxed

a b c (Å): 5.2724 5.2724 20.5153
angles (deg): 90.00 90.00 120.00
With the nearest neighbours (Å) after each atom.
Sites, in units of the cell vectors:
Cs1 0.0000 0.0000 0.0000  6 Sb 4.20, 6 In 4.23
Cs2 0.0000 0.0000 0.2831  6 Sb 3.95-4.22, 3 In 4.18
Cs3 0.0000 0.0000 0.7169  6 Sb 3.95-4.22, 3 In 4.18
In1 0.3333 0.6667 0.1434  3 Sb 3.04
In2 0.6667 0.3333 0.8566  3 Sb 3.04
Sb1 0.3333 0.6667 0.4055  4 Pb 3.08-3.15
Sb2 0.3333 0.6667 0.8591  3 In 3.04
Sb3 0.6667 0.3333 0.1409  3 In 3.04
Sb4 0.6667 0.3333 0.5945  4 Pb 3.08-3.15
Pb1 0.3333 0.6667 0.5555  4 Sb 3.08-3.15
Pb2 0.6667 0.3333 0.4445  4 Sb 3.08-3.15

Calculated values
SG   P-3m1
Formation energy from raw total energies   -218.3 meV/atom
Total magnetization   0.00 μB per formula unit
Density of states at the Fermi level   5.05 states/eV/f.u.

=====

(2)
AlTe2Ir | PBE-GGA | relaxed

a b c (Å): 4.5095 4.5095 4.5374
angles (deg): 90.14 90.14 106.50
With the nearest neighbours (Å) after each atom.
Sites, in units of the cell vectors:
Al1 0.0000 0.0000 0.0000  2 Ir 2.57, 5 Te 2.77-2.83
Te1 0.3833 0.6167 0.0000  2 Ir 2.75, 3 Al 2.77-2.83
Te2 0.7688 0.2312 0.5000  3 Ir 2.80-2.88, 2 Al 2.82
Ir1 0.1675 0.8325 0.5000  2 Al 2.57, 4 Te 2.75-2.80

Calculated values
Offset from the most stable computed form   1.78 kcal/mol of atoms
SG   C2
Formation energy from raw total energies   -177.3 meV/atom
Total magnetization   0.00 μB per formula unit
Density of states at the Fermi level   1.52 states/eV/f.u.

=====

Question: Which value of formation energy from raw total energies does entry 2 give?
Answer: -177.3 meV/atom

=====

Question: Look up the formation energy from raw total energies of the second one.
Answer: -177.3 meV/atom